Record 1
Material: Ge2Te2Pb
Method: DFT, PBE-GGA
State: relaxed

The structure in CIF format:
```
data_Ge2Te2Pb
_chemical_formula_sum 'Ge2 Te2 Pb1'
_cell_length_a 9.3966
_cell_length_b 9.3966
_cell_length_c 9.3966
_cell_angle_alpha 155.88
_cell_angle_beta 155.88
_cell_angle_gamma 34.37
_symmetry_space_group_name_H-M 'P 1'
_symmetry_Int_Tables_number 1
loop_
_symmetry_equiv_pos_as_xyz
'x,y,z'
loop_
_atom_site_label
_atom_site_type_symbol
_atom_site_fract_x
_atom_site_fract_y
_atom_site_fract_z
Ge1 Ge 0.2500 0.7500 0.5000
Ge2 Ge 0.7500 0.2500 0.5000
Te1 Te 0.1100 0.1100 0.0000
Te2 Te 0.8900 0.8900 0.0000
Pb1 Pb 0.5000 0.5000 0.0000
```

Properties
As for the space group: I4/mmm. The total energy comes out at -3.76 eV/atom.



Record 2
Material: GeTe2Pb
Method: DFT, PBE-GGA
State: relaxed

The structure in CIF format:
```
data_GeTe2Pb
_chemical_formula_sum 'Ge1 Te2 Pb1'
_cell_length_a 12.7342
_cell_length_b 12.7342
_cell_length_c 12.7342
_cell_angle_alpha 14.65
_cell_angle_beta 14.65
_cell_angle_gamma 14.65
_symmetry_space_group_name_H-M 'P 1'
_symmetry_Int_Tables_number 1
loop_
_symmetry_equiv_pos_as_xyz
'x,y,z'
loop_
_atom_site_label
_atom_site_type_symbol
_atom_site_fract_x
_atom_site_fract_y
_atom_site_fract_z
Ge1 Ge 0.0000 0.0000 0.0000
Te1 Te 0.0805 0.0805 0.0805
Te2 Te 0.9195 0.9195 0.9195
Pb1 Pb 0.5000 0.5000 0.5000
```

Properties
As for the space group: R-3m. The total energy comes out at -3.43 eV/atom.



Record 3
Material: GeTe2Pb
Method: DFT, PBE-GGA
State: relaxed

The structure in CIF format:
```
data_GeTe2Pb
_chemical_formula_sum 'Ge1 Te2 Pb1'
_cell_length_a 8.3647
_cell_length_b 8.3647
_cell_length_c 8.3647
_cell_angle_alpha 29.99
_cell_angle_beta 29.99
_cell_angle_gamma 29.99
_symmetry_space_group_name_H-M 'P 1'
_symmetry_Int_Tables_number 1
loop_
_symmetry_equiv_pos_as_xyz
'x,y,z'
loop_
_atom_site_label
_atom_site_type_symbol
_atom_site_fract_x
_atom_site_fract_y
_atom_site_fract_z
Ge1 Ge 0.0000 0.0000 0.0000
Te1 Te 0.3938 0.3938 0.3938
Te2 Te 0.5822 0.5822 0.5822
Pb1 Pb 0.1723 0.1723 0.1723
```

Properties
As for the space group: R3m. The total energy comes out at -3.85 eV/atom.



Record 4
Material: Th6Ge2Te3Pb
Method: DFT, PBE-GGA
State: relaxed

The structure in CIF format:
```
data_Th6Ge2Te3Pb
_chemical_formula_sum 'Th6 Ge2 Te3 Pb1'
_cell_length_a 9.9419
_cell_length_b 9.9419
_cell_length_c 8.9302
_cell_angle_alpha 102.96
_cell_angle_beta 102.96
_cell_angle_gamma 25.76
_symmetry_space_group_name_H-M 'P 1'
_symmetry_Int_Tables_number 1
loop_
_symmetry_equiv_pos_as_xyz
'x,y,z'
loop_
_atom_site_label
_atom_site_type_symbol
_atom_site_fract_x
_atom_site_fract_y
_atom_site_fract_z
Th1 Th 0.0124 0.0124 0.2564
Th2 Th 0.3266 0.3266 0.4324
Th3 Th 0.3305 0.3305 0.8864
Th4 Th 0.6695 0.6695 0.1136
Th5 Th 0.6734 0.6734 0.5676
Th6 Th 0.9876 0.9876 0.7436
Ge1 Ge 0.1690 0.1690 0.3374
Ge2 Ge 0.8310 0.8310 0.6626
Te1 Te 0.1611 0.1611 0.8354
Te2 Te 0.5000 0.5000 0.5000
Te3 Te 0.8389 0.8389 0.1646
Pb1 Pb 0.5000 0.5000 0.0000
```

Properties
As for the space group: C2/m. The total energy comes out at -6.45 eV/atom.



Record 5
Material: Th8Ge3Te4Pb
Method: DFT, PBE-GGA
State: relaxed

The structure in CIF format:
```
data_Th8Ge3Te4Pb
_chemical_formula_sum 'Th8 Ge3 Te4 Pb1'
_cell_length_a 8.9053
_cell_length_b 8.9053
_cell_length_c 8.9053
_cell_angle_alpha 59.60
_cell_angle_beta 59.60
_cell_angle_gamma 59.60
_symmetry_space_group_name_H-M 'P 1'
_symmetry_Int_Tables_number 1
loop_
_symmetry_equiv_pos_as_xyz
'x,y,z'
loop_
_atom_site_label
_atom_site_type_symbol
_atom_site_fract_x
_atom_site_fract_y
_atom_site_fract_z
Th1 Th 0.2243 0.7503 0.7503
Th2 Th 0.2384 0.2384 0.2384
Th3 Th 0.2497 0.2497 0.7757
Th4 Th 0.2497 0.7757 0.2497
Th5 Th 0.7503 0.2243 0.7503
Th6 Th 0.7503 0.7503 0.2243
Th7 Th 0.7616 0.7616 0.7616
Th8 Th 0.7757 0.2497 0.2497
Ge1 Ge 0.0000 0.0000 0.5000
Ge2 Ge 0.0000 0.5000 0.0000
Ge3 Ge 0.5000 0.0000 0.0000
Te1 Te 0.0000 0.0000 0.0000
Te2 Te 0.0000 0.5000 0.5000
Te3 Te 0.5000 0.0000 0.5000
Te4 Te 0.5000 0.5000 0.0000
Pb1 Pb 0.5000 0.5000 0.5000
```

Properties
As for the space group: R-3m. The total energy comes out at -6.50 eV/atom.



Record 6
Material: Tl2GeTe4Pb
Method: DFT, PBE-GGA
State: relaxed

The structure in CIF format:
```
data_Tl2GeTe4Pb
_chemical_formula_sum 'Tl4 Ge2 Te8 Pb2'
_cell_length_a 9.0216
_cell_length_b 9.0216
_cell_length_c 8.9707
_cell_angle_alpha 119.77
_cell_angle_beta 119.77
_cell_angle_gamma 89.85
_symmetry_space_group_name_H-M 'P 1'
_symmetry_Int_Tables_number 1
loop_
_symmetry_equiv_pos_as_xyz
'x,y,z'
loop_
_atom_site_label
_atom_site_type_symbol
_atom_site_fract_x
_atom_site_fract_y
_atom_site_fract_z
Tl1 Tl 0.0000 0.0000 0.0000
Tl2 Tl 0.0000 0.0000 0.5000
Tl3 Tl 0.0000 0.5000 0.0000
Tl4 Tl 0.5000 0.0000 0.5000
Ge1 Ge 0.5000 0.5000 0.0000
Ge2 Ge 0.5000 0.5000 0.5000
Te1 Te 0.2625 0.7374 0.0005
Te2 Te 0.2626 0.7375 0.4995
Te3 Te 0.2742 0.2751 0.0248
Te4 Te 0.2751 0.2742 0.5248
Te5 Te 0.7249 0.7258 0.4752
Te6 Te 0.7258 0.7249 0.9752
Te7 Te 0.7374 0.2625 0.5005
Te8 Te 0.7375 0.2626 0.9995
Pb1 Pb 0.0000 0.5000 0.5000
Pb2 Pb 0.5000 0.0000 0.0000
```

Properties
As for the space group: C2/c. The total energy comes out at -3.38 eV/atom.



Record 7
Material: TlGeTe4Pb2
Method: DFT, PBE-GGA
State: relaxed

The structure in CIF format:
```
data_TlGeTe4Pb2
_chemical_formula_sum 'Tl2 Ge2 Te8 Pb4'
_cell_length_a 9.0507
_cell_length_b 9.0507
_cell_length_c 9.0507
_cell_angle_alpha 120.20
_cell_angle_beta 119.92
_cell_angle_gamma 89.90
_symmetry_space_group_name_H-M 'P 1'
_symmetry_Int_Tables_number 1
loop_
_symmetry_equiv_pos_as_xyz
'x,y,z'
loop_
_atom_site_label
_atom_site_type_symbol
_atom_site_fract_x
_atom_site_fract_y
_atom_site_fract_z
Tl1 Tl 0.0000 0.0000 0.0000
Tl2 Tl 0.5000 0.0000 0.5000
Ge1 Ge 0.5000 0.0000 0.0000
Ge2 Ge 0.5000 0.5000 0.5000
Te1 Te 0.2586 0.2593 0.5006
Te2 Te 0.2586 0.7580 0.9994
Te3 Te 0.2668 0.7495 0.5172
Te4 Te 0.2677 0.2505 0.0172
Te5 Te 0.7323 0.7495 0.9828
Te6 Te 0.7332 0.2505 0.4828
Te7 Te 0.7414 0.2420 0.0006
Te8 Te 0.7414 0.7407 0.4994
Pb1 Pb 0.0000 0.0000 0.5000
Pb2 Pb 0.0000 0.5000 0.0000
Pb3 Pb 0.0000 0.5000 0.5000
Pb4 Pb 0.5000 0.5000 0.0000
```

Properties
As for the space group: Imma. The total energy comes out at -3.60 eV/atom.



Record 8
Material: TlGe2Te6Pb3
Method: DFT, PBE-GGA
State: relaxed

The structure in CIF format:
```
data_TlGe2Te6Pb3
_chemical_formula_sum 'Tl1 Ge2 Te6 Pb3'
_cell_length_a 10.0887
_cell_length_b 10.0887
_cell_length_c 9.0192
_cell_angle_alpha 102.49
_cell_angle_beta 102.49
_cell_angle_gamma 25.59
_symmetry_space_group_name_H-M 'P 1'
_symmetry_Int_Tables_number 1
loop_
_symmetry_equiv_pos_as_xyz
'x,y,z'
loop_
_atom_site_label
_atom_site_type_symbol
_atom_site_fract_x
_atom_site_fract_y
_atom_site_fract_z
Tl1 Tl 0.0000 0.0000 0.0000
Ge1 Ge 0.3300 0.3300 0.6596
Ge2 Ge 0.6700 0.6700 0.3404
Te1 Te 0.1707 0.1707 0.1051
Te2 Te 0.1722 0.1722 0.5701
Te3 Te 0.4899 0.4899 0.7446
Te4 Te 0.5101 0.5101 0.2554
Te5 Te 0.8278 0.8278 0.4299
Te6 Te 0.8293 0.8293 0.8949
Pb1 Pb 0.0000 0.0000 0.5000
Pb2 Pb 0.3351 0.3351 0.1625
Pb3 Pb 0.6649 0.6649 0.8375
```

Properties
As for the space group: C2/m. The total energy comes out at -3.69 eV/atom.



Record 9
Material: TlGeTe3Pb
Method: DFT, PBE-GGA
State: relaxed

The structure in CIF format:
```
data_TlGeTe3Pb
_chemical_formula_sum 'Tl2 Ge2 Te6 Pb2'
_cell_length_a 8.7251
_cell_length_b 4.9401
_cell_length_c 9.9671
_cell_angle_alpha 90.00
_cell_angle_beta 102.17
_cell_angle_gamma 90.00
_symmetry_space_group_name_H-M 'P 1'
_symmetry_Int_Tables_number 1
loop_
_symmetry_equiv_pos_as_xyz
'x,y,z'
loop_
_atom_site_label
_atom_site_type_symbol
_atom_site_fract_x
_atom_site_fract_y
_atom_site_fract_z
Tl1 Tl 0.2340 0.2500 0.2574
Tl2 Tl 0.7660 0.7500 0.7426
Ge1 Ge 0.1006 0.2500 0.6185
Ge2 Ge 0.8994 0.7500 0.3815
Te1 Te 0.0541 0.2500 0.8766
Te2 Te 0.2030 0.7500 0.5414
Te3 Te 0.4851 0.7500 0.2051
Te4 Te 0.5149 0.2500 0.7949
Te5 Te 0.7970 0.2500 0.4586
Te6 Te 0.9459 0.7500 0.1234
Pb1 Pb 0.3209 0.7500 0.8978
Pb2 Pb 0.6791 0.2500 0.1022
```

Properties
As for the space group: P2_1/m. The total energy comes out at -3.56 eV/atom.



Record 10
Material: Tm6Ge2Te3Pb
Method: DFT, PBE-GGA
State: relaxed

The structure in CIF format:
```
data_Tm6Ge2Te3Pb
_chemical_formula_sum 'Tm6 Ge2 Te3 Pb1'
_cell_length_a 9.5821
_cell_length_b 9.5821
_cell_length_c 8.6386
_cell_angle_alpha 103.33
_cell_angle_beta 103.33
_cell_angle_gamma 25.49
_symmetry_space_group_name_H-M 'P 1'
_symmetry_Int_Tables_number 1
loop_
_symmetry_equiv_pos_as_xyz
'x,y,z'
loop_
_atom_site_label
_atom_site_type_symbol
_atom_site_fract_x
_atom_site_fract_y
_atom_site_fract_z
Tm1 Tm 0.0108 0.0108 0.2524
Tm2 Tm 0.3248 0.3248 0.4338
Tm3 Tm 0.3324 0.3324 0.8890
Tm4 Tm 0.6676 0.6676 0.1110
Tm5 Tm 0.6752 0.6752 0.5662
Tm6 Tm 0.9892 0.9892 0.7476
Ge1 Ge 0.1679 0.1679 0.3367
Ge2 Ge 0.8321 0.8321 0.6633
Te1 Te 0.1640 0.1640 0.8329
Te2 Te 0.5000 0.5000 0.5000
Te3 Te 0.8360 0.8360 0.1671
Pb1 Pb 0.5000 0.5000 0.0000
```

Properties
As for the space group: C2/m. The total energy comes out at -5.14 eV/atom.